9
Lattice="-3.9852 -2.8068 -2.2988 1.1190 -4.3485 -3.0819 -0.3589 -3.7763 5.3067" Properties=species:S:1:pos:R:3 comment="CsVNiF6 | Alexandria | PBE with a Hubbard U | optimized geometry" vol_a3_per_cell=165.21 energy_ev_per_atom=-5.13 spacegroup="C2, No. 5" pbc="T T T"
Cs -4.3293 -6.5809 3.0103
V -2.0688 -6.6552 -0.9303
Ni -1.1353 -4.2732 0.8597
F -3.6350 -5.7165 -1.7253
F -0.6735 -7.9465 -0.3981
F -2.2986 -5.9451 0.9258
F -3.4976 -8.0109 -0.6349
F -0.9729 -5.0173 -1.0469
F -1.4980 -7.3179 -2.7295